1.
The following is a DFT calculation (SCAN) of a crystal of ErMgB5O10 relaxed with PBEsol.

abc: 8.4033 7.5871 12.0883
angles: 90.00 129.26 90.00
Closest atoms and distances in Å follow each position.
Element x y z (fractional)
Er (0.0620, 0.1883, 0.2448)  7 O 2.23-2.45
Er (0.0620, 0.3117, 0.7448)  7 O 2.23-2.45
Er (0.9380, 0.6883, 0.2552)  7 O 2.23-2.45
Er (0.9380, 0.8117, 0.7552)  7 O 2.23-2.45
Mg (0.4599, 0.5944, 0.8681)  5 O 2.04-2.14
Mg (0.4599, 0.9056, 0.3681)  5 O 2.04-2.14
Mg (0.5401, 0.0944, 0.6319)  5 O 2.04-2.14
Mg (0.5401, 0.4056, 0.1319)  5 O 2.04-2.14
B (0.0802, 0.6760, 0.5998)  4 O 1.46-1.49
B (0.0802, 0.8240, 0.0998)  4 O 1.46-1.49
B (0.1573, 0.6041, 0.9880)  3 O 1.35-1.39
B (0.1573, 0.8959, 0.4880)  3 O 1.35-1.39
B (0.2824, 0.0346, 0.0577)  4 O 1.46-1.50
B (0.2824, 0.4654, 0.5577)  4 O 1.46-1.50
B (0.3344, 0.5723, 0.2495)  4 O 1.46-1.49
B (0.3344, 0.9277, 0.7495)  4 O 1.46-1.49
B (0.4722, 0.1876, 0.9088)  3 O 1.36-1.38
B (0.4722, 0.3124, 0.4088)  3 O 1.36-1.38
B (0.5278, 0.6876, 0.5912)  3 O 1.36-1.38
B (0.5278, 0.8124, 0.0912)  3 O 1.36-1.38
B (0.6656, 0.0723, 0.2505)  4 O 1.46-1.49
B (0.6656, 0.4277, 0.7505)  4 O 1.46-1.49
B (0.7176, 0.5346, 0.4423)  4 O 1.46-1.50
B (0.7176, 0.9654, 0.9423)  4 O 1.46-1.50
B (0.8427, 0.1041, 0.5120)  3 O 1.35-1.39
B (0.8427, 0.3959, 0.0120)  3 O 1.35-1.39
B (0.9198, 0.1760, 0.9002)  4 O 1.46-1.49
B (0.9198, 0.3240, 0.4002)  4 O 1.46-1.49
O (0.0265, 0.7322, 0.9739)  2 B 1.39-1.46
O (0.0265, 0.7678, 0.4739)  2 B 1.39-1.46
O (0.1043, 0.1161, 0.9228)  2 B 1.47-1.48
O (0.1043, 0.3839, 0.4228)  2 B 1.47-1.48
O (0.1215, 0.5591, 0.8656)  1 B 1.35
O (0.1215, 0.9409, 0.3656)  1 B 1.35
O (0.1828, 0.7011, 0.2222)  2 B 1.47-1.48
O (0.1828, 0.7989, 0.7222)  2 B 1.47-1.48
O (0.2283, 0.5280, 0.6482)  2 B 1.49-1.50
O (0.2283, 0.9720, 0.1482)  2 B 1.49-1.50
O (0.3069, 0.0947, 0.7957)  2 B 1.38-1.46
O (0.3069, 0.4053, 0.2957)  2 B 1.38-1.46
O (0.3099, 0.5314, 0.1186)  2 B 1.37-1.49
O (0.3099, 0.9686, 0.6186)  2 B 1.37-1.49
O (0.3330, 0.6224, 0.5100)  2 B 1.36-1.50
O (0.3330, 0.8776, 0.0100)  2 B 1.36-1.50
O (0.4171, 0.1516, 0.4270)  1 B 1.37
O (0.4171, 0.3484, 0.9270)  1 B 1.37
O (0.4618, 0.1499, 0.1430)  2 B 1.46-1.47
O (0.4618, 0.3501, 0.6430)  2 B 1.46-1.47
O (0.5382, 0.6499, 0.3570)  2 B 1.46-1.47
O (0.5382, 0.8501, 0.8570)  2 B 1.46-1.47
O (0.5829, 0.6516, 0.0730)  1 B 1.37
O (0.5829, 0.8484, 0.5730)  1 B 1.37
O (0.6670, 0.1224, 0.9900)  2 B 1.36-1.50
O (0.6670, 0.3776, 0.4900)  2 B 1.36-1.50
O (0.6901, 0.0314, 0.3814)  2 B 1.37-1.49
O (0.6901, 0.4686, 0.8814)  2 B 1.37-1.49
O (0.6931, 0.5947, 0.7043)  2 B 1.38-1.46
O (0.6931, 0.9053, 0.2043)  2 B 1.38-1.46
O (0.7717, 0.0280, 0.8518)  2 B 1.49-1.50
O (0.7717, 0.4720, 0.3518)  2 B 1.49-1.50
O (0.8172, 0.2011, 0.2778)  2 B 1.47-1.48
O (0.8172, 0.2989, 0.7778)  2 B 1.47-1.48
O (0.8785, 0.0591, 0.6344)  1 B 1.35
O (0.8785, 0.4409, 0.1344)  1 B 1.35
O (0.8957, 0.6161, 0.5772)  2 B 1.47-1.48
O (0.8957, 0.8839, 0.0772)  2 B 1.47-1.48
O (0.9735, 0.2322, 0.5261)  2 B 1.39-1.46
O (0.9735, 0.2678, 0.0261)  2 B 1.39-1.46

Values from the calculation:
For the total magnetic moment, the calculation gives 0.00 μB per atom. The calculation puts the uncorrected formation energy at -2.950 eV/atom. As for the volume: 8.78 A^3/atom. The calculation puts the total energy at -819.68 eV per cell.

2.
The following is a DFT calculation (SCAN) of a crystal of CaFe2As relaxed with PBEsol.

abc: 3.1208 3.7806 6.0086
angles: 90.00 104.41 90.00
Closest atoms and distances in Å follow each position.
Element x y z (fractional)
Ca (0.0000, 0.0000, 0.0000)  1 Fe 2.78, 4 As 2.94
Fe (0.2528, 0.0000, 0.4779)  2 As 2.36, 4 Fe 2.48-2.49
Fe (0.7145, 0.5000, 0.4050)  2 As 2.41, 4 Fe 2.48-2.49
As (0.3662, 0.5000, 0.7214)  4 Fe 2.36-2.41

Values from the calculation:
For the total magnetic moment, the calculation gives 1.39 μB per atom. As for the volume: 17.17 A^3/atom. The calculation puts the total energy at -66.63 eV per cell.

3.
The following is a DFT calculation (SCAN) of a crystal of La3Te relaxed with PBEsol.

abc: 5.7513 5.7513 3.7660
angles: 90.00 90.00 106.02
Closest atoms and distances in Å follow each position.
Element x y z (fractional)
La (0.0000, 0.0000, 0.0000)  10 La 3.44-3.77, 2 Te 3.46
La (0.0000, 0.5000, 0.5000)  8 La 3.44-3.77, 4 Te 3.44
La (0.5000, 0.0000, 0.5000)  8 La 3.44-3.77, 4 Te 3.44
Te (0.5000, 0.5000, 0.0000)  10 La 3.44-3.46, 2 Te 3.77

Values from the calculation:
The energy above the most stable polymorph in this dataset comes out at 172 meV per atom. For the total magnetic moment, the calculation gives 0.00 μB per atom. The calculation puts the uncorrected formation energy at -0.685 eV/atom. As for the volume: 29.93 A^3/atom. The calculation puts the total energy at -169.30 eV per cell.

4.
The following is a DFT calculation (SCAN) of a crystal of LiHo2Os relaxed with PBEsol.

abc: 4.8026 4.8026 4.8026
angles: 60.00 60.00 60.00
Closest atoms and distances in Å follow each position.
Element x y z (fractional)
Li (0.0000, 0.0000, 0.0000)  8 Ho 2.94
Ho (0.2500, 0.2500, 0.2500)  4 Li 2.94, 4 Os 2.94
Ho (0.7500, 0.7500, 0.7500)  4 Li 2.94, 4 Os 2.94
Os (0.5000, 0.5000, 0.5000)  8 Ho 2.94

Values from the calculation:
For the total magnetic moment, the calculation gives 0.00 μB per atom. As for the volume: 19.58 A^3/atom. The calculation puts the total energy at -173.72 eV per cell.

5.
The following is a DFT calculation (SCAN) of a crystal of Dy5Pt4 relaxed with PBEsol.

abc: 7.3783 14.3854 7.4871
angles: 90.00 90.00 90.00
Closest atoms and distances in Å follow each position.
Element x y z (fractional)
Dy (0.0005, 0.0932, 0.1794)  7 Pt 2.92-3.26
Dy (0.0005, 0.4068, 0.1794)  7 Pt 2.92-3.26
Dy (0.9995, 0.5932, 0.8206)  7 Pt 2.92-3.26
Dy (0.9995, 0.9068, 0.8206)  7 Pt 2.92-3.26
Dy (0.1561, 0.1227, 0.6672)  6 Pt 2.79-2.97
Dy (0.1561, 0.3773, 0.6672)  6 Pt 2.79-2.97
Dy (0.1813, 0.7500, 0.5118)  5 Pt 2.77-3.02
Dy (0.3187, 0.2500, 0.0118)  5 Pt 2.77-3.02
Dy (0.3439, 0.6227, 0.1672)  6 Pt 2.79-2.97
Dy (0.3439, 0.8773, 0.1672)  6 Pt 2.79-2.97
Dy (0.5005, 0.0932, 0.3206)  7 Pt 2.92-3.26
Dy (0.5005, 0.4068, 0.3206)  7 Pt 2.92-3.26
Dy (0.4995, 0.5932, 0.6794)  7 Pt 2.92-3.26
Dy (0.4995, 0.9068, 0.6794)  7 Pt 2.92-3.26
Dy (0.6561, 0.1227, 0.8328)  6 Pt 2.79-2.97
Dy (0.6561, 0.3773, 0.8328)  6 Pt 2.79-2.97
Dy (0.6813, 0.7500, 0.9882)  5 Pt 2.77-3.02
Dy (0.8187, 0.2500, 0.4882)  5 Pt 2.77-3.02
Dy (0.8439, 0.6227, 0.3328)  6 Pt 2.79-2.97
Dy (0.8439, 0.8773, 0.3328)  6 Pt 2.79-2.97
Pt (0.0473, 0.7500, 0.1111)  1 Pt 2.75, 5 Dy 2.85-2.89
Pt (0.1833, 0.5411, 0.4666)  6 Dy 2.79-3.07, 1 Pt 2.99
Pt (0.1833, 0.9589, 0.4666)  6 Dy 2.79-3.07, 1 Pt 2.99
Pt (0.1844, 0.2500, 0.3569)  1 Pt 2.75, 6 Dy 2.77-2.97
Pt (0.3156, 0.7500, 0.8569)  1 Pt 2.75, 6 Dy 2.77-2.97
Pt (0.3167, 0.0411, 0.9666)  6 Dy 2.79-3.07, 1 Pt 2.99
Pt (0.3167, 0.4589, 0.9666)  6 Dy 2.79-3.07, 1 Pt 2.99
Pt (0.4527, 0.2500, 0.6111)  1 Pt 2.75, 5 Dy 2.85-2.89
Pt (0.5473, 0.7500, 0.3889)  1 Pt 2.75, 5 Dy 2.85-2.89
Pt (0.6833, 0.5411, 0.0334)  6 Dy 2.79-3.07, 1 Pt 2.99
Pt (0.6833, 0.9589, 0.0334)  6 Dy 2.79-3.07, 1 Pt 2.99
Pt (0.6844, 0.2500, 0.1431)  1 Pt 2.75, 6 Dy 2.77-2.97
Pt (0.8156, 0.7500, 0.6431)  1 Pt 2.75, 6 Dy 2.77-2.97
Pt (0.8167, 0.0411, 0.5334)  6 Dy 2.79-3.07, 1 Pt 2.99
Pt (0.8167, 0.4589, 0.5334)  6 Dy 2.79-3.07, 1 Pt 2.99
Pt (0.9527, 0.2500, 0.8889)  1 Pt 2.75, 5 Dy 2.85-2.89

Values from the calculation:
For the total magnetic moment, the calculation gives 0.00 μB per atom. As for the volume: 22.07 A^3/atom. The calculation puts the total energy at -2129.31 eV per cell.

6.
The following is a DFT calculation (SCAN) of a crystal of LiBPd2Pt relaxed with PBEsol.

abc: 4.1097 4.1097 4.0770
angles: 90.00 90.00 90.00
Closest atoms and distances in Å follow each position.
Element x y z (fractional)
Li (0.0000, 0.0000, 0.0000)  8 Pd 2.89, 4 Pt 2.91
B (0.5000, 0.5000, 0.5000)  2 Pt 2.04, 4 Pd 2.05
Pd (0.0000, 0.5000, 0.5000)  2 B 2.05
Pd (0.5000, 0.0000, 0.5000)  2 B 2.05
Pt (0.5000, 0.5000, 0.0000)  2 B 2.04

Values from the calculation:
For the total magnetic moment, the calculation gives 0.00 μB per atom. As for the volume: 13.77 A^3/atom. The calculation puts the total energy at -147.80 eV per cell.

7.
The following is a DFT calculation (SCAN) of a crystal of GaOsI2O relaxed with PBEsol.

abc: 5.3845 5.3845 3.4397
angles: 90.00 90.00 90.00
Closest atoms and distances in Å follow each position.
Element x y z (fractional)
Ga (0.0000, 0.0000, 0.0000)  2 O 1.72
Os (0.5000, 0.5000, 0.5000)  8 I 3.19, 2 Os 3.44
I (0.0000, 0.5000, 0.0000)  2 Ga 2.69
I (0.5000, 0.0000, 0.0000)  2 Ga 2.69
O (0.0000, 0.0000, 0.5000)  2 Ga 1.72

Values from the calculation:
For the total magnetic moment, the calculation gives 0.00 μB per atom. The calculation puts the uncorrected formation energy at 0.747 eV/atom. As for the volume: 19.95 A^3/atom. The calculation puts the total energy at -164.20 eV per cell.

8.
The following is a DFT calculation (SCAN) of a crystal of Ca2WO5 relaxed with PBEsol.

abc: 7.1788 5.3532 10.5203
angles: 90.00 90.00 90.00
Closest atoms and distances in Å follow each position.
Element x y z (fractional)
Ca (0.0044, 0.2500, 0.2334)  4 O 2.27-2.41
Ca (0.1489, 0.2500, 0.5791)  3 O 2.25-2.32
Ca (0.3511, 0.7500, 0.0791)  3 O 2.25-2.32
Ca (0.4956, 0.7500, 0.7334)  4 O 2.27-2.41
Ca (0.5044, 0.2500, 0.2666)  4 O 2.27-2.41
Ca (0.6489, 0.2500, 0.9209)  3 O 2.25-2.32
Ca (0.8511, 0.7500, 0.4209)  3 O 2.25-2.32
Ca (0.9956, 0.7500, 0.7666)  4 O 2.27-2.41
W (0.1874, 0.2500, 0.9393)  6 O 1.85-2.00
W (0.3126, 0.7500, 0.4393)  6 O 1.85-2.00
W (0.6874, 0.2500, 0.5607)  6 O 1.85-2.00
W (0.8126, 0.7500, 0.0607)  6 O 1.85-2.00
O (0.0000, 0.0000, 0.0000)  2 W 2.00
O (0.0000, 0.5000, 0.0000)  2 W 2.00
O (0.0634, 0.2500, 0.7847)  1 W 1.85
O (0.1458, 0.0018, 0.3983)  1 W 1.85
O (0.1458, 0.4982, 0.3983)  1 W 1.85
O (0.2274, 0.7500, 0.6185)  1 W 1.98
O (0.2726, 0.2500, 0.1185)  1 W 1.98
O (0.3542, 0.5018, 0.8983)  1 W 1.85
O (0.3542, 0.9982, 0.8983)  1 W 1.85
O (0.4366, 0.7500, 0.2847)  1 W 1.85
O (0.5000, 0.0000, 0.5000)  2 W 2.00
O (0.5000, 0.5000, 0.5000)  2 W 2.00
O (0.5634, 0.2500, 0.7153)  1 W 1.85
O (0.6458, 0.0018, 0.1017)  1 W 1.85
O (0.6458, 0.4982, 0.1017)  1 W 1.85
O (0.7274, 0.7500, 0.8815)  1 W 1.98
O (0.7726, 0.2500, 0.3815)  1 W 1.98
O (0.8542, 0.5018, 0.6017)  1 W 1.85
O (0.8542, 0.9982, 0.6017)  1 W 1.85
O (0.9366, 0.7500, 0.2153)  1 W 1.85

Values from the calculation:
The energy above the most stable polymorph in this dataset comes out at 27 meV per atom. For the total magnetic moment, the calculation gives 0.00 μB per atom. The calculation puts the uncorrected formation energy at -2.902 eV/atom. As for the volume: 12.63 A^3/atom. The calculation puts the total energy at -573.54 eV per cell.

9.
The following is a DFT calculation (SCAN) of a crystal of InNiP2 relaxed with PBEsol.

abc: 4.4403 4.4403 4.4403
angles: 60.00 60.00 60.00
Closest atoms and distances in Å follow each position.
Element x y z (fractional)
In (0.0000, 0.0000, 0.0000)  8 P 2.72
Ni (0.5000, 0.5000, 0.5000)  8 P 2.72
P (0.2500, 0.2500, 0.2500)  4 In 2.72, 4 Ni 2.72
P (0.7500, 0.7500, 0.7500)  4 In 2.72, 4 Ni 2.72

Values from the calculation:
For the total magnetic moment, the calculation gives 0.00 μB per atom. As for the volume: 15.48 A^3/atom. The calculation puts the total energy at -67.94 eV per cell.

10.
The following is a DFT calculation (SCAN) of a crystal of LaPAu relaxed with PBEsol.

abc: 5.1328 5.1328 5.1328
angles: 133.95 133.95 67.17
Closest atoms and distances in Å follow each position.
Element x y z (fractional)
La (0.0000, 0.0000, 0.0000)  5 Au 2.90-3.16, 5 P 3.06-3.13
P (0.3656, 0.3656, 0.0000)  1 Au 2.53
Au (0.6612, 0.6612, 0.0000)  1 P 2.53

Values from the calculation:
For the total magnetic moment, the calculation gives 0.00 μB per atom. As for the volume: 22.98 A^3/atom. The calculation puts the total energy at -125.16 eV per cell.

11.
The following is a DFT calculation (SCAN) of a crystal of KTlSb2 relaxed with PBEsol.

abc: 6.2540 6.2540 5.3028
angles: 110.80 110.80 40.56
Closest atoms and distances in Å follow each position.
Element x y z (fractional)
K (0.0000, 0.0000, 0.0000)  4 Tl 3.42, 6 Sb 3.56-3.68
Tl (0.5000, 0.5000, 0.5000)  4 K 3.42, 6 Sb 3.43-3.48
Sb (0.2450, 0.2450, 0.6843)  2 Sb 2.95
Sb (0.7550, 0.7550, 0.3157)  2 Sb 2.95

Values from the calculation:
The energy above the most stable polymorph in this dataset comes out at 6 meV per atom. For the total magnetic moment, the calculation gives 0.00 μB per atom. The calculation puts the uncorrected formation energy at -0.201 eV/atom. As for the volume: 31.21 A^3/atom. The calculation puts the total energy at -156.01 eV per cell.

12.
The following is a DFT calculation (SCAN) of a crystal of LiScCu relaxed with PBEsol.

abc: 4.3036 4.3036 3.0204
angles: 90.00 90.00 120.00
Closest atoms and distances in Å follow each position.
Element x y z (fractional)
Li (0.0000, 0.0000, 0.0000)  3 Cu 2.48
Sc (0.3333, 0.6667, 0.5000)  6 Li 2.91, 6 Cu 2.91, 2 Sc 3.02
Cu (0.6667, 0.3333, 0.0000)  3 Li 2.48

Values from the calculation:
The energy above the most stable polymorph in this dataset comes out at 0 meV per atom. For the total magnetic moment, the calculation gives 0.00 μB per atom. As for the volume: 16.15 A^3/atom. The calculation puts the total energy at -31.76 eV per cell.